No. 1
# V4Re2Mo5 PBE relaxed
# N(E_F)   1.064 states/eV per atom
# Final energy   -113.025 eV per cell
data_V4Re2Mo5
_cell_length_a 2.537
_cell_length_b 7.008
_cell_length_c 9.477
_cell_angle_alpha 86.92
_cell_angle_beta 90.00
_cell_angle_gamma 90.00
_symmetry_space_group_name_H-M 'P 1'
_symmetry_Int_Tables_number 1
_symmetry_space_group_name_Hall 'P 1'
loop_
_atom_site_label
_atom_site_fract_x
_atom_site_fract_y
_atom_site_fract_z
Mo1 0.000 0.579 0.715
Mo2 0.000 0.786 0.173
Mo3 0.000 0.214 0.827
V1 0.500 0.856 0.901
V2 0.500 0.700 0.452
Mo4 0.000 0.500 0.000
Mo5 0.000 0.421 0.285
V3 0.500 0.300 0.548
V4 0.500 0.144 0.099
Re1 0.000 0.050 0.361
Re2 0.000 0.950 0.639

No. 2
# CsSmMoN3 PBE relaxed
# Final energy   -88.553 eV per cell
# Energy relative to the elements, uncorrected   -2.9 eV/f.u.
data_CsSmMoN3
_cell_length_a 3.931
_cell_length_b 7.198
_cell_length_c 8.763
_cell_angle_alpha 103.61
_cell_angle_beta 90.00
_cell_angle_gamma 105.85
_symmetry_space_group_name_H-M 'P 1'
_symmetry_Int_Tables_number 1
_symmetry_space_group_name_Hall 'P 1'
loop_
_atom_site_label
_atom_site_fract_x
_atom_site_fract_y
_atom_site_fract_z
Cs1 0.643 0.286 0.070
Mo1 0.009 0.017 0.340
Cs2 0.357 0.714 0.930
N1 0.128 0.256 0.764
N2 0.514 0.027 0.361
Sm1 0.338 0.677 0.419
N3 0.486 0.973 0.639
N4 0.159 0.319 0.377
Sm2 0.662 0.323 0.581
N5 0.841 0.681 0.623
N6 0.872 0.744 0.236
Mo2 0.991 0.983 0.660

No. 3
# SnH14C4N2Cl4 PBE relaxed
# N(E_F)   0.000 states/eV per atom
# Final energy   -243.797 eV per cell
data_SnH14C4N2Cl4
_cell_length_a 8.618
_cell_length_b 6.389
_cell_length_c 13.017
_cell_angle_alpha 68.86
_cell_angle_beta 90.00
_cell_angle_gamma 90.00
_symmetry_space_group_name_H-M 'P 1'
_symmetry_Int_Tables_number 1
_symmetry_space_group_name_Hall 'P 1'
loop_
_atom_site_label
_atom_site_fract_x
_atom_site_fract_y
_atom_site_fract_z
H1 0.359 0.890 0.972
H2 0.694 0.176 0.238
H3 0.141 0.890 0.472
H4 0.152 0.632 0.047
H5 0.226 0.077 0.289
H6 0.590 0.120 0.564
H7 0.379 0.623 0.412
C1 0.661 0.273 0.542
H8 0.534 0.030 0.207
H9 0.806 0.176 0.738
Cl1 0.563 0.485 0.820
C2 0.656 0.076 0.190
H10 0.859 0.110 0.528
Cl2 0.199 0.206 0.527
H11 0.910 0.120 0.064
Cl3 0.699 0.794 0.973
N1 0.326 0.789 0.929
H12 0.774 0.923 0.711
H13 0.410 0.880 0.436
H14 0.466 0.970 0.793
H15 0.726 0.923 0.211
C3 0.339 0.727 0.458
N2 0.826 0.211 0.571
H16 0.194 0.824 0.262
Cl4 0.801 0.794 0.473
C4 0.161 0.727 0.958
N3 0.174 0.789 0.429
N4 0.674 0.211 0.071
H17 0.879 0.377 0.088
H18 0.121 0.623 0.912
C5 0.156 0.924 0.310
H19 0.848 0.368 0.953
H20 0.090 0.880 0.936
Sn1 0.500 0.500 0.000
H21 0.034 0.970 0.293
Cl5 0.063 0.515 0.680
Cl6 0.301 0.206 0.027
Cl7 0.937 0.485 0.320
H22 0.641 0.110 0.028
H23 0.274 0.077 0.789
H24 0.621 0.377 0.588
C6 0.844 0.076 0.690
Cl8 0.437 0.515 0.180
Sn2 0.000 0.500 0.500
H25 0.966 0.030 0.707
H26 0.652 0.368 0.453
C7 0.344 0.924 0.810
H27 0.306 0.824 0.762
H28 0.348 0.632 0.547
C8 0.839 0.273 0.042

No. 4
# SrAlSe3 PBE relaxed
# N(E_F)   0.528 states/eV per atom
# Final energy   -15.021 eV per cell
# Energy relative to the elements, uncorrected   0.9 eV/f.u.
# Energy above the most stable polymorph in this dataset   132.9 kJ per mole of atoms
data_SrAlSe3
_cell_length_a 5.874
_cell_length_b 5.874
_cell_length_c 5.874
_cell_angle_alpha 90.00
_cell_angle_beta 90.00
_cell_angle_gamma 90.00
_symmetry_space_group_name_H-M 'P 1'
_symmetry_Int_Tables_number 1
_symmetry_space_group_name_Hall 'P 1'
loop_
_atom_site_label
_atom_site_fract_x
_atom_site_fract_y
_atom_site_fract_z
Se1 0.500 0.000 0.000
Se2 0.000 0.500 0.000
Se3 0.000 0.000 0.500
Al1 0.500 0.500 0.500
Sr1 0.000 0.000 0.000

No. 5
# La3YEr6Tm2 PBE relaxed
# N(E_F)   1.446 states/eV per atom
# Final energy   -57.226 eV per cell
data_La3YEr6Tm2
_cell_length_a 6.191
_cell_length_b 6.191
_cell_length_c 11.785
_cell_angle_alpha 95.02
_cell_angle_beta 95.02
_cell_angle_gamma 120.00
_symmetry_space_group_name_H-M 'P 1'
_symmetry_Int_Tables_number 1
_symmetry_space_group_name_Hall 'P 1'
loop_
_atom_site_label
_atom_site_fract_x
_atom_site_fract_y
_atom_site_fract_z
La1 0.500 0.500 0.500
Er1 0.747 0.747 0.244
Er2 0.919 0.585 0.756
Er3 0.253 0.253 0.756
La2 0.833 0.167 0.500
Er4 0.081 0.415 0.244
Tm1 0.667 0.333 0.000
Er5 0.415 0.081 0.244
Tm2 0.333 0.667 0.000
La3 0.167 0.833 0.500
Y1 0.000 0.000 0.000
Er6 0.585 0.919 0.756

No. 6
# TlHgF3 PBE relaxed
# N(E_F)   0.000 states/eV per atom
# Final energy   -62.989 eV per cell
# Energy relative to the elements, uncorrected   -7.5 eV/f.u.
data_TlHgF3
_cell_length_a 10.461
_cell_length_b 7.109
_cell_length_c 7.109
_cell_angle_alpha 90.23
_cell_angle_beta 119.78
_cell_angle_gamma 60.22
_symmetry_space_group_name_H-M 'P 1'
_symmetry_Int_Tables_number 1
_symmetry_space_group_name_Hall 'P 1'
loop_
_atom_site_label
_atom_site_fract_x
_atom_site_fract_y
_atom_site_fract_z
F1 0.933 0.671 0.780
F2 0.825 0.181 0.054
Hg1 0.245 0.054 0.842
Hg2 0.755 0.946 0.158
F3 0.946 0.264 0.561
F4 0.433 0.720 0.829
Tl1 0.750 0.541 0.041
Hg3 0.745 0.658 0.446
F5 0.446 0.939 0.236
F6 0.567 0.280 0.171
F7 0.325 0.446 0.319
Tl2 0.750 0.141 0.641
Tl3 0.250 0.859 0.359
F8 0.554 0.061 0.764
Hg4 0.255 0.342 0.554
F9 0.067 0.329 0.220
F10 0.175 0.819 0.946
F11 0.675 0.554 0.681
Tl4 0.250 0.459 0.959
F12 0.054 0.736 0.439

No. 7
# AlCrCd4 PBE relaxed
# N(E_F)   0.274 states/eV per atom
# Final energy   -14.714 eV per cell
data_AlCrCd4
_cell_length_a 5.692
_cell_length_b 5.692
_cell_length_c 5.692
_cell_angle_alpha 60.00
_cell_angle_beta 60.00
_cell_angle_gamma 60.00
_symmetry_space_group_name_H-M 'P 1'
_symmetry_Int_Tables_number 1
_symmetry_space_group_name_Hall 'P 1'
loop_
_atom_site_label
_atom_site_fract_x
_atom_site_fract_y
_atom_site_fract_z
Cd1 0.874 0.375 0.375
Al1 0.000 0.000 0.000
Cd2 0.375 0.375 0.874
Cd3 0.375 0.375 0.375
Cr1 0.750 0.750 0.750
Cd4 0.375 0.874 0.375

No. 8
# BaMgAlAg3 PBE relaxed
# N(E_F)   0.439 states/eV per atom
# Final energy   -32.593 eV per cell
data_BaMgAlAg3
_cell_length_a 6.713
_cell_length_b 6.860
_cell_length_c 7.547
_cell_angle_alpha 117.03
_cell_angle_beta 90.00
_cell_angle_gamma 90.00
_symmetry_space_group_name_H-M 'P 1'
_symmetry_Int_Tables_number 1
_symmetry_space_group_name_Hall 'P 1'
loop_
_atom_site_label
_atom_site_fract_x
_atom_site_fract_y
_atom_site_fract_z
Ag1 0.500 0.712 0.000
Al1 0.750 0.024 0.048
Ag2 0.000 0.712 0.000
Ag3 0.250 0.170 0.339
Ag4 0.750 0.830 0.661
Mg1 0.750 0.624 0.248
Ag5 0.500 0.288 0.000
Mg2 0.250 0.376 0.752
Al2 0.250 0.976 0.952
Ag6 0.000 0.288 0.000
Ba1 0.250 0.720 0.440
Ba2 0.750 0.280 0.560

No. 9
# La2SnSb4 PBE relaxed
# N(E_F)   0.263 states/eV per atom
# Final energy   -35.359 eV per cell
# Energy relative to the elements, uncorrected   -5.0 eV/f.u.
# Energy above the most stable polymorph in this dataset   0.0 kJ per mole of atoms
data_La2SnSb4
_cell_length_a 4.421
_cell_length_b 4.421
_cell_length_c 11.536
_cell_angle_alpha 90.00
_cell_angle_beta 90.00
_cell_angle_gamma 90.00
_symmetry_space_group_name_H-M 'P 1'
_symmetry_Int_Tables_number 1
_symmetry_space_group_name_Hall 'P 1'
loop_
_atom_site_label
_atom_site_fract_x
_atom_site_fract_y
_atom_site_fract_z
Sb1 0.500 0.500 0.500
Sb2 0.000 0.000 0.500
Sb3 0.000 0.500 0.816
La1 0.500 0.000 0.720
La2 0.000 0.500 0.280
Sn1 0.500 0.500 0.000
Sb4 0.500 0.000 0.184

No. 10
# CdAsI2N PBE relaxed
# N(E_F)   0.698 states/eV per atom
# Final energy   -14.114 eV per cell
# Energy relative to the elements, uncorrected   2.9 eV/f.u.
# Energy above the most stable polymorph in this dataset   0.0 kJ per mole of atoms
data_CdAsI2N
_cell_length_a 6.051
_cell_length_b 6.051
_cell_length_c 3.730
_cell_angle_alpha 90.00
_cell_angle_beta 90.00
_cell_angle_gamma 90.00
_symmetry_space_group_name_H-M 'P 1'
_symmetry_Int_Tables_number 1
_symmetry_space_group_name_Hall 'P 1'
loop_
_atom_site_label
_atom_site_fract_x
_atom_site_fract_y
_atom_site_fract_z
I1 0.000 0.500 0.000
Cd1 0.500 0.500 0.500
N1 0.000 0.000 0.500
As1 0.000 0.000 0.000
I2 0.500 0.000 0.000

No. 11
# Sr2TcHg PBE relaxed
# N(E_F)   0.887 states/eV per atom
# Final energy   -12.513 eV per cell
data_Sr2TcHg
_cell_length_a 6.679
_cell_length_b 6.679
_cell_length_c 6.679
_cell_angle_alpha 148.03
_cell_angle_beta 132.34
_cell_angle_gamma 58.54
_symmetry_space_group_name_H-M 'P 1'
_symmetry_Int_Tables_number 1
_symmetry_space_group_name_Hall 'P 1'
loop_
_atom_site_label
_atom_site_fract_x
_atom_site_fract_y
_atom_site_fract_z
Hg1 0.290 0.790 0.500
Tc1 0.469 0.469 0.000
Sr1 0.722 0.222 0.500
Sr2 0.019 0.019 0.000

No. 12
# Ti2ZnPt2 PBE relaxed
# N(E_F)   0.490 states/eV per atom
# Final energy   -32.779 eV per cell
data_Ti2ZnPt2
_cell_length_a 4.461
_cell_length_b 4.461
_cell_length_c 5.222
_cell_angle_alpha 64.69
_cell_angle_beta 64.69
_cell_angle_gamma 60.00
_symmetry_space_group_name_H-M 'P 1'
_symmetry_Int_Tables_number 1
_symmetry_space_group_name_Hall 'P 1'
loop_
_atom_site_label
_atom_site_fract_x
_atom_site_fract_y
_atom_site_fract_z
Pt1 0.219 0.719 0.343
Ti1 0.597 0.097 0.210
Ti2 0.403 0.903 0.790
Pt2 0.781 0.281 0.657
Zn1 0.000 0.500 0.000